DFT (PBE) results for crystalline PrNdDyHo at its relaxed geometry.

Total DFT energy (no corrections), eV/atom: -4.57
Symmetry: F-43m (216)
ρ, g cm⁻³: 7.6

abc: 5.751 5.751 5.751
angles: 60.00 60.00 60.00
Fractional coordinates of all 4 atoms:
Pr  0.750  0.750  0.750
Nd  0.250  0.250  0.250
Ho  0.000  0.000  0.000
Dy  0.500  0.500  0.500